(1)
VASP calculation (PBE) on crystalline Ga2Si2Sn at its relaxed geometry.

- volume (Å³/cell) = 100
- D(E_F) (states/eV/atom) = 0.402
- space-group type = No. 139

```
5
Lattice="-2.3084 2.3084 4.6917 2.3084 -2.3084 4.6917 2.3084 2.3084 -4.6917" Properties=species:S:1:pos:R:3 pbc="T T T"
Ga 2.3084 0.0000 2.3459
Ga 0.0000 2.3084 2.3459
Si 0.0000 0.0000 1.1717
Si 0.0000 0.0000 8.2118
Sn 0.0000 0.0000 4.6917
```

---

(2)
VASP calculation (PBE) on crystalline Ga2Si2Sn at its relaxed geometry.

- volume (Å³/cell) = 191
- D(E_F) (states/eV/atom) = 0.380
- space-group type = No. 127

```
10
Lattice="7.9424 0.0000 0.0000 0.0000 7.9424 0.0000 0.0000 0.0000 3.0259" Properties=species:S:1:pos:R:3 pbc="T T T"
Ga 1.0935 2.8777 0.0000
Ga 2.8777 6.8488 0.0000
Ga 5.0647 1.0935 0.0000
Ga 6.8488 5.0647 0.0000
Si 1.2571 5.2283 1.5129
Si 2.7141 1.2571 1.5129
Si 5.2283 6.6853 1.5129
Si 6.6853 2.7141 1.5129
Sn 0.0000 0.0000 1.5129
Sn 3.9712 3.9712 1.5129
```

---

(3)
VASP calculation (PBE) on crystalline Ga2Si2Sn at its relaxed geometry.

- volume (Å³/cell) = 191
- D(E_F) (states/eV/atom) = 0.401
- space-group type = No. 127

```
10
Lattice="7.9090 0.0000 0.0000 0.0000 7.9090 0.0000 0.0000 0.0000 3.0458" Properties=species:S:1:pos:R:3 pbc="T T T"
Ga 1.1697 2.7848 0.0000
Ga 2.7848 6.7393 0.0000
Ga 5.1242 1.1697 0.0000
Ga 6.7393 5.1242 0.0000
Si 1.1222 5.0767 1.5229
Si 2.8322 1.1222 1.5229
Si 5.0767 6.7867 1.5229
Si 6.7867 2.8322 1.5229
Sn 0.0000 0.0000 0.0000
Sn 3.9545 3.9545 0.0000
```

---

(4)
VASP calculation (PBE) on crystalline Ga2Si2Sn at its relaxed geometry.

- volume (Å³/cell) = 100
- D(E_F) (states/eV/atom) = 0.531
- space-group type = No. 139

```
5
Lattice="-2.1930 2.1930 5.2114 2.1930 -2.1930 5.2114 2.1930 2.1930 -5.2114" Properties=species:S:1:pos:R:3 pbc="T T T"
Ga 0.0000 0.0000 1.2409
Ga 0.0000 0.0000 9.1818
Si 2.1930 0.0000 2.6057
Si 0.0000 2.1930 2.6057
Sn 0.0000 0.0000 5.2114
```

---

Computed relative energies in units of meV per atom: (1) 0; (2) 51; (3) 103; (4) 91

---

(1)
VASP calculation (PBE) on crystalline SrGa3Si at its relaxed geometry.

- volume (Å³/cell) = 125
- D(E_F) (states/eV/atom) = 0.547
- space-group type = No. 221

```
5
Lattice="4.9951 0.0000 0.0000 0.0000 4.9951 0.0000 0.0000 0.0000 4.9951" Properties=species:S:1:pos:R:3 pbc="T T T"
Sr 0.0000 0.0000 0.0000
Ga 0.0000 2.4975 2.4975
Ga 2.4975 0.0000 2.4975
Ga 2.4975 2.4975 0.0000
Si 2.4975 2.4975 2.4975
```

---

(2)
VASP calculation (PBE) on crystalline SrGa3Si at its relaxed geometry.

- volume (Å³/cell) = 186
- D(E_F) (states/eV/atom) = 0.632
- space-group type = No. 221

```
5
Lattice="5.7067 0.0000 0.0000 0.0000 5.7067 0.0000 0.0000 0.0000 5.7067" Properties=species:S:1:pos:R:3 pbc="T T T"
Sr 0.0000 0.0000 0.0000
Ga 0.0000 0.0000 2.8533
Ga 0.0000 2.8533 0.0000
Ga 2.8533 0.0000 0.0000
Si 2.8533 2.8533 2.8533
```

---

Computed relative energies in units of meV per atom: (1) 0; (2) 1203

---

(1)
VASP calculation (PBE) on crystalline Sr2GaSi3 at its relaxed geometry.

- volume (Å³/cell) = 281
- D(E_F) (states/eV/atom) = 0.465
- space-group type = No. 69

```
12
Lattice="0.0000 4.6900 7.1701 4.1836 0.0000 7.1701 4.1836 4.6900 0.0000" Properties=species:S:1:pos:R:3 pbc="T T T"
Sr 4.1836 2.3169 7.1701
Sr 2.0918 2.3450 3.5850
Sr 6.2754 7.0350 10.7551
Sr 4.1836 7.0631 7.1701
Ga 4.1836 4.6900 4.7882
Ga 4.1836 4.6900 9.5519
Si 4.1836 4.6900 2.3511
Si 6.3011 4.6900 5.9856
Si 6.3011 4.6900 8.3545
Si 2.0661 4.6900 5.9856
Si 2.0661 4.6900 8.3545
Si 4.1836 4.6900 11.9890
```

---

(2)
VASP calculation (PBE) on crystalline Sr2GaSi3 at its relaxed geometry.

- volume (Å³/cell) = 141
- D(E_F) (states/eV/atom) = 0.443
- space-group type = No. 25

```
6
Lattice="4.1818 0.0000 0.0000 0.0000 4.6875 0.0000 0.0000 0.0000 7.1976" Properties=species:S:1:pos:R:3 pbc="T T T"
Sr 0.0000 0.0000 0.0000
Sr 2.0909 0.0000 3.5078
Ga 0.0000 2.3438 4.7663
Si 0.0000 2.3438 2.3201
Si 2.0909 2.3438 1.1555
Si 2.0909 2.3438 5.9867
```

---

Computed relative energies in units of meV per atom: (1) 5; (2) 0

---

(1)
VASP calculation (PBE) on crystalline TaGaSi3 at its relaxed geometry.

- volume (Å³/cell) = 97
- D(E_F) (states/eV/atom) = 0.961
- space-group type = No. 221

```
5
Lattice="4.5913 0.0000 0.0000 0.0000 4.5913 0.0000 0.0000 0.0000 4.5913" Properties=species:S:1:pos:R:3 pbc="T T T"
Ta 0.0000 0.0000 0.0000
Ga 2.2957 2.2957 2.2957
Si 0.0000 2.2957 2.2957
Si 2.2957 0.0000 2.2957
Si 2.2957 2.2957 0.0000
```

---

(2)
VASP calculation (PBE) on crystalline TaGaSi3 at its relaxed geometry.

- volume (Å³/cell) = 119
- D(E_F) (states/eV/atom) = 0.862
- space-group type = No. 221

```
5
Lattice="4.9159 0.0000 0.0000 0.0000 4.9159 0.0000 0.0000 0.0000 4.9159" Properties=species:S:1:pos:R:3 pbc="T T T"
Ta 0.0000 0.0000 0.0000
Ga 2.4579 2.4579 2.4579
Si 0.0000 0.0000 2.4579
Si 0.0000 2.4579 0.0000
Si 2.4579 0.0000 0.0000
```

---

Computed relative energies in units of meV per atom: (1) 779; (2) 0

---

(1)
VASP calculation (PBE) on crystalline TbGaSi2 at its relaxed geometry.

- volume (Å³/cell) = 74
- D(E_F) (states/eV/atom) = 0.384
- space-group type = No. 123

```
4
Lattice="4.2296 0.0000 0.0000 0.0000 4.2296 0.0000 0.0000 0.0000 4.1460" Properties=species:S:1:pos:R:3 pbc="T T T"
Tb 0.0000 0.0000 0.0000
Ga 2.1148 2.1148 0.0000
Si 0.0000 2.1148 2.0730
Si 2.1148 0.0000 2.0730
```

---

(2)
VASP calculation (PBE) on crystalline TbGaSi2 at its relaxed geometry.

- volume (Å³/cell) = 74
- D(E_F) (states/eV/atom) = 0.404
- space-group type = No. 65

```
4
Lattice="2.6737 -4.5567 0.0000 2.6737 4.5567 0.0000 0.0000 0.0000 3.0417" Properties=species:S:1:pos:R:3 pbc="T T T"
Tb 0.0000 0.0000 0.0000
Ga 2.6737 0.0000 1.5208
Si 1.3369 2.2784 1.5208
Si 1.3369 -2.2784 1.5208
```

---

(3)
VASP calculation (PBE) on crystalline TbGaSi2 at its relaxed geometry.

- volume (Å³/cell) = 78
- D(E_F) (states/eV/atom) = 0.421
- space-group type = No. 166

```
4
Lattice="2.1654 1.2502 4.8111 -2.1654 1.2502 4.8111 0.0000 -2.5004 4.8111" Properties=species:S:1:pos:R:3 pbc="T T T"
Tb 0.0000 0.0000 0.0000
Ga 0.0000 0.0000 7.2167
Si 0.0000 0.0000 3.0303
Si 0.0000 0.0000 11.4030
```

---

Computed relative energies in units of meV per atom: (1) 0; (2) 54; (3) 84

---

(1)
VASP calculation (PBE) on crystalline Tb3Ga2Si2 at its relaxed geometry.

- volume (Å³/cell) = 153
- D(E_F) (states/eV/atom) = 0.602
- space-group type = No. 71

```
7
Lattice="-2.0096 2.1275 8.9677 2.0096 -2.1275 8.9677 2.0096 2.1275 -8.9677" Properties=species:S:1:pos:R:3 pbc="T T T"
Tb 0.0000 0.0000 0.0000
Tb 2.0096 0.0000 3.2770
Tb 0.0000 2.1275 5.6907
Ga 2.0096 0.0000 6.3381
Ga 0.0000 2.1275 2.6295
Si 0.0000 0.0000 7.7981
Si 0.0000 0.0000 10.1373
```

---

(2)
VASP calculation (PBE) on crystalline Tb3Ga2Si2 at its relaxed geometry.

- volume (Å³/cell) = 153
- D(E_F) (states/eV/atom) = 0.462
- space-group type = No. 12

```
7
Lattice="5.3210 -2.1360 0.0000 5.3210 2.1360 0.0000 -2.7613 0.0000 6.7299" Properties=species:S:1:pos:R:3 pbc="T T T"
Tb 0.0000 0.0000 0.0000
Tb 0.1534 0.0000 4.2100
Tb 7.7272 0.0000 2.5199
Ga 3.1068 0.0000 0.4864
Ga 4.7738 0.0000 6.2435
Si 3.1714 0.0000 4.3975
Si 4.7093 0.0000 2.3324
```

---

Computed relative energies in units of meV per atom: (1) 0; (2) 18